(a)
SrC2I | PBE | optimized geometry

Computed properties:
The calculation puts the magnetization at 0.000 μB/cell. Its crystal system is cubic.

Cell and atoms, written as POSCAR:
```
SrC2I
1.0
0.000 3.329 3.329
3.329 0.000 3.329
3.329 3.329 0.000
I Sr C
1 1 2
Direct
0.500 0.500 0.500
0.000 0.000 0.000
0.250 0.250 0.250
0.750 0.750 0.750
```

***

(b)
SrC2I | PBE | optimized geometry

Computed properties:
The calculation puts the magnetization at 1.282 μB/cell. Its crystal system is tetragonal.

Cell and atoms, written as POSCAR:
```
SrC2I
1.0
6.398 0.000 0.000
0.000 6.398 0.000
3.199 3.199 3.950
I Sr C
2 2 4
Direct
0.000 0.000 0.000
0.750 0.250 0.500
0.500 0.500 0.000
0.250 0.750 0.500
0.686 0.125 0.250
0.064 0.625 0.250
0.375 0.314 0.750
0.875 0.936 0.750
```

***

Of them, (a) has the lowest stability.

***

(a)
SrTe2CI | PBE | optimized geometry

Computed properties:
The calculation puts the magnetization at 0.654 μB/cell. Its crystal system is tetragonal.

Cell and atoms, written as POSCAR:
```
SrTe2CI
1.0
-1.029 -0.434 -4.744
3.677 -3.159 -0.508
-3.579 -4.354 1.175
I Sr C Te
1 1 1 2
Direct
0.000 0.000 0.500
0.500 0.500 0.500
0.000 0.000 0.000
0.000 0.500 0.000
0.500 0.000 0.000
```

***

(b)
SrTe2CI | PBE | optimized geometry

Computed properties:
The calculation puts the magnetization at 1.012 μB/cell. Its crystal system is tetragonal.

Cell and atoms, written as POSCAR:
```
SrTe2CI
1.0
-2.817 4.045 -4.304
-5.896 -2.215 1.777
-0.343 4.437 4.394
I Sr C Te
1 1 1 2
Direct
0.000 0.000 0.500
0.000 0.000 0.000
0.500 0.500 0.500
0.000 0.500 0.000
0.500 0.000 0.000
```

***

Of them, (b) has the lowest stability.

***

(a)
SrTeCI2 | PBE | optimized geometry

Computed properties:
The calculation puts the magnetization at 2.526 μB/cell. Its crystal system is tetragonal.

Cell and atoms, written as POSCAR:
```
SrTeCI2
1.0
6.356 0.000 0.000
0.000 6.356 0.000
0.000 0.000 6.627
I Sr C Te
2 1 1 1
Direct
0.000 0.500 0.000
0.500 0.000 0.000
0.000 0.000 0.000
0.500 0.500 0.500
0.000 0.000 0.500
```

***

(b)
SrTeCI2 | PBE | optimized geometry

Computed properties:
The calculation puts the magnetization at 0.000 μB/cell. Its crystal system is tetragonal.

Cell and atoms, written as POSCAR:
```
SrTeCI2
1.0
-2.954 -3.927 -1.905
2.339 -3.366 3.312
-3.501 0.961 3.449
I Sr C Te
2 1 1 1
Direct
0.000 0.500 0.000
0.500 0.000 0.000
0.500 0.500 0.500
0.000 0.000 0.000
0.000 0.000 0.500
```

***

Of them, (a) has the lowest stability.

***

(a)
TaCI3 | PBE | optimized geometry

Computed properties:
The calculation puts the magnetization at 2.927 μB/cell. Its crystal system is cubic.

Cell and atoms, written as POSCAR:
```
TaCI3
1.0
-3.363 2.735 -3.415
-4.339 -2.635 2.164
-0.558 4.004 3.756
I C Ta
3 1 1
Direct
0.000 0.500 0.000
0.000 0.000 0.500
0.500 0.000 0.000
0.500 0.500 0.500
0.000 0.000 0.000
```

***

(b)
TaCI3 | PBE | optimized geometry

Computed properties:
The calculation puts the magnetization at 0.000 μB/cell. Its crystal system is cubic.

Cell and atoms, written as POSCAR:
```
TaCI3
1.0
4.850 0.000 0.000
0.000 4.850 0.000
0.000 0.000 4.850
I C Ta
3 1 1
Direct
0.000 0.500 0.000
0.000 0.000 0.500
0.500 0.000 0.000
0.000 0.000 0.000
0.500 0.500 0.500
```

***

Of them, (b) has the lowest stability.

***

(a)
TaCI2 | PBE | optimized geometry

Computed properties:
The calculation puts the magnetization at 0.000 μB/cell. Its crystal system is cubic.

Cell and atoms, written as POSCAR:
```
TaCI2
1.0
0.501 -4.740 -0.658
-2.835 -3.072 2.382
-3.386 -2.472 -2.360
I C Ta
2 1 1
Direct
0.250 0.250 0.250
0.750 0.750 0.750
0.000 0.000 0.000
0.500 0.500 0.500
```

***

(b)
TaCI2 | PBE | optimized geometry

Computed properties:
The calculation puts the magnetization at 0.000 μB/cell. Its crystal system is tetragonal.

Cell and atoms, written as POSCAR:
```
TaCI2
1.0
-5.696 -0.486 -2.866
2.899 -0.495 -5.679
-1.234 -5.486 -3.753
I C Ta
4 2 2
Direct
0.599 0.125 0.250
0.151 0.625 0.250
0.375 0.401 0.750
0.875 0.849 0.750
0.500 0.500 0.000
0.250 0.750 0.500
0.000 0.000 0.000
0.750 0.250 0.500
```

***

Of them, (b) has the lowest stability.

***

(a)
Ta2CI | PBE | optimized geometry

Computed properties:
The calculation puts the magnetization at 0.000 μB/cell. Its crystal system is cubic.

Cell and atoms, written as POSCAR:
```
Ta2CI
1.0
0.000 3.174 3.174
3.174 0.000 3.174
3.174 3.174 0.000
I C Ta
1 1 2
Direct
0.500 0.500 0.500
0.000 0.000 0.000
0.250 0.250 0.250
0.750 0.750 0.750
```

***

(b)
Ta2CI | PBE | optimized geometry

Computed properties:
The calculation puts the magnetization at 0.000 μB/cell. Its crystal system is tetragonal.

Cell and atoms, written as POSCAR:
```
Ta2CI
1.0
5.383 0.000 0.000
0.000 5.383 0.000
2.691 2.691 5.805
I C Ta
2 2 4
Direct
0.000 0.000 0.000
0.750 0.250 0.500
0.500 0.500 0.000
0.250 0.750 0.500
0.493 0.125 0.250
0.257 0.625 0.250
0.375 0.507 0.750
0.875 0.743 0.750
```

***

Of them, (a) has the lowest stability.